No. 1
Compound: CuRe2Hg
Source: the Alexandria database
Functional: PBEsol
Structure: optimized geometry

a b c (Å): 2.752 4.678 4.987
angles (deg): 97.45 90.00 107.10
Fractional positions:
Hg 0.751 0.502 0.276
Cu 0.503 0.007 0.495
Re 0.249 0.498 0.772
Re 0.997 0.994 0.957

Output
**DOS(E_F)**: 2.26 states/eV/f.u.
**Energy relative to the elements**: 547.4 meV per atom
**Space-group type**: Cm (8)


No. 2
Compound: SrTl5
Source: the Alexandria database
Functional: PBEsol
Structure: optimized geometry

a b c (Å): 4.984 4.940 7.371
angles (deg): 70.42 90.00 90.00
Fractional positions:
Tl 0.000 0.825 0.350
Tl 0.000 0.175 0.650
Tl 0.500 0.000 0.000
Tl 0.500 0.673 0.655
Tl 0.500 0.327 0.345
Sr 0.000 0.500 0.000

Output
**DOS(E_F)**: 2.32 states/eV/f.u.
**Energy relative to the elements**: -206.2 meV per atom
**Energy above the lowest structure with this stoichiometry**: 0 meV per atom
**Space-group type**: Cmmm (65)


No. 3
Compound: NiP3
Source: the Alexandria database
Functional: PBEsol
Structure: optimized geometry

a b c (Å): 3.283 3.283 5.901
angles (deg): 73.85 73.85 60.00
Fractional positions:
P 0.500 0.500 0.500
P 0.253 0.253 0.240
P 0.747 0.747 0.760
Ni 0.000 0.000 0.000

Output
**DOS(E_F)**: 1.75 states/eV/f.u.
**Energy relative to the elements**: -118.9 meV per atom
**Energy above the lowest structure with this stoichiometry**: 258 meV per atom
**Space-group type**: R-3m (166)


No. 4
Compound: Y2CdHg
Source: the Alexandria database
Functional: PBEsol
Structure: optimized geometry

a b c (Å): 3.623 5.074 6.228
angles (deg): 114.04 106.91 90.00
Fractional positions:
Y 0.984 0.984 0.967
Y 0.758 0.258 0.517
Cd 0.523 0.523 0.046
Hg 0.235 0.735 0.470

Output
**DOS(E_F)**: 5.00 states/eV/f.u.
**Energy relative to the elements**: -375.6 meV per atom
**Energy above the lowest structure with this stoichiometry**: 118 meV per atom
**Space-group type**: Imm2 (44)


No. 5
Compound: YAgTe2
Source: the Alexandria database
Functional: PBEsol
Structure: optimized geometry

a b c (Å): 4.700 6.915 6.915
angles (deg): 90.00 90.00 90.00
Fractional positions:
Te 0.700 0.702 0.202
Te 0.700 0.298 0.798
Te 0.300 0.798 0.702
Te 0.300 0.202 0.298
Ag 0.000 0.500 0.500
Ag 0.000 0.000 0.000
Y 0.819 0.000 0.500
Y 0.181 0.500 0.000

Output
**Space-group type**: P-42_1m (113)
**Formation energy from raw total energies**: -0.91 eV per atom


No. 6
Compound: TcNi4
Source: the Alexandria database
Functional: PBEsol
Structure: optimized geometry

a b c (Å): 3.512 4.324 4.324
angles (deg): 80.51 66.04 66.04
Fractional positions:
Tc 0.000 0.000 0.000
Ni 0.601 0.600 0.197
Ni 0.201 0.197 0.400
Ni 0.399 0.400 0.803
Ni 0.799 0.803 0.600

Output
**DOS(E_F)**: 4.38 states/eV/f.u.
**Energy relative to the elements**: -43.1 meV per atom
**Space-group type**: I4/m (87)